1.
A relaxed structure of ErZrSn. Source: Alexandria via LeMat-Bulk, functional PBE.

It has space group I4mm (No. 107), with a = 3.875 Å, b = 3.875 Å, c = 9.755 Å, α = 90.00°, β = 90.00° and γ = 90.00°. The asymmetric unit holds Er at (0.000, 0.000, 0.000), Zr at (0.000, 0.000, 0.681) and Sn at (0.000, 0.000, 0.330).

For the density of states at the Fermi level, the calculation gives 8.520 states/eV/cell. Its polymorph energy (0 for the lowest one) is 238 meV/atom. As for the crystal system: tetragonal. The total moment comes out at 0.0 Bohr magnetons per cell. As for the total energy: -6.06 eV/atom.

---

2.
A relaxed structure of Sr3Er. Source: Alexandria via LeMat-Bulk, functional PBE.

It has space group P6_3/mmc (No. 194), with a = 8.0650 Å, b = 8.0650 Å, c = 6.5523 Å, α = 90.00°, β = 90.00° and γ = 120.00°. The asymmetric unit holds Sr at (0.1719, 0.3439, 0.2500) and Er at (0.3333, 0.6667, 0.7500).

For the density of states at the Fermi level, the calculation gives 14.215 states/eV/cell. Its polymorph energy (0 for the lowest one) is 0 meV/atom. As for the crystal system: hexagonal. The total moment comes out at 1.1 Bohr magnetons per cell. As for the total energy: -2.19 eV/atom.

---

3.
A relaxed structure of SrEr3. Source: Alexandria via LeMat-Bulk, functional PBE.

It has space group Pmm2 (No. 25), with a = 3.647 Å, b = 5.826 Å, c = 6.513 Å, α = 90.00°, β = 90.00° and γ = 90.00°. The asymmetric unit holds Sr at (0.000, 0.000, 0.000), Er at (0.000, 0.500, 0.658), Er at (0.500, 0.000, 0.498) and Er at (0.500, 0.500, 0.192).

For the density of states at the Fermi level, the calculation gives 6.780 states/eV/cell. As for the crystal system: orthorhombic. The total moment comes out at 1.1 Bohr magnetons per cell. As for the total energy: -3.65 eV/atom.

---

4.
A relaxed structure of Sr3Er. Source: Alexandria via LeMat-Bulk, functional PBE.

It has space group Pmm2 (No. 25), with a = 3.764 Å, b = 3.915 Å, c = 12.760 Å, α = 90.00°, β = 90.00° and γ = 90.00°. The asymmetric unit holds Sr at (0.000, 0.000, 0.000), Sr at (0.000, 0.500, 0.282), Sr at (0.500, 0.500, 0.743) and Er at (0.500, 0.000, 0.495).

For the density of states at the Fermi level, the calculation gives 5.412 states/eV/cell. Its polymorph energy (0 for the lowest one) is 78 meV/atom. As for the crystal system: orthorhombic. The total moment comes out at 0.5 Bohr magnetons per cell. As for the total energy: -2.11 eV/atom.

---

5.
A relaxed structure of Sr4Er. Source: Alexandria via LeMat-Bulk, functional PBE.

It has space group Pm-3m (No. 221), with a = 6.616 Å, b = 6.616 Å, c = 6.616 Å, α = 90.00°, β = 90.00° and γ = 90.00°. The asymmetric unit holds Sr at (0.000, 0.000, 0.000), Sr at (0.000, 0.500, 0.500) and Er at (0.500, 0.500, 0.500).

For the density of states at the Fermi level, the calculation gives 5.755 states/eV/cell. As for the crystal system: cubic. The total moment comes out at 2.7 Bohr magnetons per cell. As for the total energy: -1.70 eV/atom.

---

6.
A relaxed structure of Sr5Er. Source: Alexandria via LeMat-Bulk, functional PBE.

It has space group Cmmm (No. 65), with a = 6.570 Å, b = 19.765 Å, c = 4.409 Å, α = 90.00°, β = 90.00° and γ = 90.00°. The asymmetric unit holds Sr at (0.000, 0.000, 0.000), Sr at (0.000, 0.171, 0.500), Sr at (0.000, 0.348, 0.000) and Er at (0.000, 0.500, 0.500).

For the density of states at the Fermi level, the calculation gives 11.732 states/eV/cell. As for the crystal system: orthorhombic. The total moment comes out at 0.0 Bohr magnetons per cell. As for the total energy: -2.03 eV/atom.

---

7.
A relaxed structure of SrEr6. Source: Alexandria via LeMat-Bulk, functional PBE.

It has space group Im-3m (No. 229), with a = 8.439 Å, b = 8.439 Å, c = 8.439 Å, α = 90.00°, β = 90.00° and γ = 90.00°. The asymmetric unit holds Sr at (0.000, 0.000, 0.000) and Er at (0.000, 0.250, 0.500).

For the density of states at the Fermi level, the calculation gives 28.289 states/eV/cell. As for the crystal system: cubic. The total moment comes out at 0.0 Bohr magnetons per cell. As for the total energy: -2.79 eV/atom.

---

8.
A relaxed structure of SrEr5. Source: Alexandria via LeMat-Bulk, functional PBE.

It has space group Cmmm (No. 65), with a = 5.884 Å, b = 18.274 Å, c = 3.741 Å, α = 90.00°, β = 90.00° and γ = 90.00°. The asymmetric unit holds Sr at (0.000, 0.000, 0.000), Er at (0.000, 0.189, 0.500), Er at (0.000, 0.347, 0.000) and Er at (0.000, 0.500, 0.500).

For the density of states at the Fermi level, the calculation gives 21.575 states/eV/cell. As for the crystal system: orthorhombic. The total moment comes out at 0.0 Bohr magnetons per cell. As for the total energy: -3.88 eV/atom.

---

9.
A relaxed structure of SrTbEr2. Source: Alexandria via LeMat-Bulk, functional PBE.

It has space group P4/mmm (No. 123), with a = 3.662 Å, b = 3.662 Å, c = 10.523 Å, α = 90.00°, β = 90.00° and γ = 90.00°. The asymmetric unit holds Sr at (0.000, 0.000, 0.000), Tb at (0.000, 0.000, 0.500) and Er at (0.500, 0.500, 0.280).

For the density of states at the Fermi level, the calculation gives 5.592 states/eV/cell. Its polymorph energy (0 for the lowest one) is 0 meV/atom. As for the crystal system: tetragonal. The total moment comes out at 0.0 Bohr magnetons per cell. As for the total energy: -3.73 eV/atom.

---

10.
A relaxed structure of SrTb2Er. Source: Alexandria via LeMat-Bulk, functional PBE.

It has space group R-3m (No. 166, hexagonal axes), with a = 3.5981 Å, b = 3.5981 Å, c = 38.3170 Å, α = 90.00°, β = 90.00° and γ = 120.00°. The asymmetric unit holds Sr at (0.0000, 0.0000, 0.0000), Tb at (0.0000, 0.0000, 0.0935) and Er at (0.0000, 0.0000, 0.5000).

For the density of states at the Fermi level, the calculation gives 16.889 states/eV/cell. Its polymorph energy (0 for the lowest one) is 92 meV/atom. As for the crystal system: trigonal. The total moment comes out at 0.0 Bohr magnetons per cell. As for the total energy: -3.66 eV/atom.

---

11.
A relaxed structure of SrTb2Er. Source: Alexandria via LeMat-Bulk, functional PBE.

It has space group P4/mmm (No. 123), with a = 4.013 Å, b = 4.013 Å, c = 9.177 Å, α = 90.00°, β = 90.00° and γ = 90.00°. The asymmetric unit holds Sr at (0.000, 0.000, 0.000), Tb at (0.500, 0.500, 0.297) and Er at (0.000, 0.000, 0.500).

For the density of states at the Fermi level, the calculation gives 5.981 states/eV/cell. Its polymorph energy (0 for the lowest one) is 25 meV/atom. As for the crystal system: tetragonal. The total moment comes out at 0.0 Bohr magnetons per cell. As for the total energy: -3.72 eV/atom.

---

12.
A relaxed structure of SrTbEr2. Source: Alexandria via LeMat-Bulk, functional PBE.

It has space group R-3m (No. 166, hexagonal axes), with a = 3.5867 Å, b = 3.5867 Å, c = 38.0983 Å, α = 90.00°, β = 90.00° and γ = 120.00°. The asymmetric unit holds Sr at (0.0000, 0.0000, 0.0000), Tb at (0.0000, 0.0000, 0.5000) and Er at (0.0000, 0.0000, 0.0931).

For the density of states at the Fermi level, the calculation gives 15.970 states/eV/cell. Its polymorph energy (0 for the lowest one) is 101 meV/atom. As for the crystal system: trigonal. The total moment comes out at 0.0 Bohr magnetons per cell. As for the total energy: -3.62 eV/atom.